<A>
B5C7 | PBE-GGA | relaxed

a b c (Å): 6.405 6.405 5.225
angles (deg): 90.07 90.07 23.28
Positions (direct):
1 B 0.000 0.000 0.000
2 B 0.000 0.000 0.463
3 B 0.300 0.300 0.465
4 B 0.300 0.300 0.999
5 B 0.655 0.655 0.732
6 C 0.067 0.067 0.732
7 C 0.090 0.090 0.232
8 C 0.418 0.418 0.081
9 C 0.418 0.418 0.382
10 C 0.656 0.656 0.232
11 C 0.730 0.730 0.477
12 C 0.730 0.730 0.987


<B>
B5C7 | PBE-GGA | relaxed

a b c (Å): 4.651 2.650 6.531
angles (deg): 90.00 91.44 90.00
Positions (direct):
1 B 0.000 0.000 0.000
2 B 0.037 0.000 0.662
3 B 0.372 0.000 0.030
4 B 0.518 0.500 0.703
5 B 0.860 0.500 0.286
6 C 0.195 0.500 0.606
7 C 0.197 0.500 0.371
8 C 0.349 0.000 0.292
9 C 0.537 0.500 0.950
10 C 0.674 0.000 0.378
11 C 0.692 0.000 0.604
12 C 0.838 0.500 0.033


Quick one: most stable of them? <B>